Record 1
VASP calculation (PBE) on TbCePO2 after structural relaxation.

Unit cell a=3.7235 b=6.3548 c=7.6091 alpha=90.00 beta=90.00 gamma=107.04
Each line ends with the local moment (μB).
Fractional coordinates of all 10 atoms:
P (0.5581, 0.1162, 0.2500)  -0.01
P (0.4419, 0.8838, 0.7500)  -0.01
Tb (0.0000, 0.0000, 0.5000)  0.00
Tb (0.0000, 0.0000, 0.0000)  0.00
O (0.1789, 0.3578, 0.5783)  -0.01
O (0.8211, 0.6422, 0.0783)  -0.01
O (0.1789, 0.3578, 0.9217)  -0.01
O (0.8211, 0.6422, 0.4217)  -0.01
Ce (0.7298, 0.4596, 0.7500)  0.21
Ce (0.2702, 0.5404, 0.2500)  0.21

Summary:
Its total energy is -0.2840 Ha/atom. The space-group type is Cmcm, No. 63.



Record 2
VASP calculation (PBE) on Pr6SmDy5 after structural relaxation.

Unit cell a=11.3857 b=5.1664 c=8.1873 alpha=71.61 beta=81.77 gamma=63.01
Fractional coordinates of all 12 atoms:
Dy (0.5000, 0.5000, 0.0000)
Dy (0.5000, 0.1666, 0.6668)
Dy (0.5000, 0.8334, 0.3332)
Dy (0.0000, 0.3325, 0.3349)
Dy (0.0000, 0.6675, 0.6651)
Pr (0.7490, 0.7510, 0.0000)
Pr (0.7491, 0.4174, 0.6664)
Pr (0.2509, 0.9162, 0.6664)
Pr (0.7491, 0.0838, 0.3336)
Pr (0.2510, 0.2490, 0.0000)
Pr (0.2509, 0.5826, 0.3336)
Sm (0.0000, 0.0000, 0.0000)

Summary:
Its total energy is -0.1722 Ha/atom. The space-group type is Cmmm, No. 65. For the formation energy, the calculation gives 0.016 eV per atom.